This record from Alexandria describes a relaxed TaNiO2 crystal. The functional is PBE with a Hubbard U.

Cell lengths 6.7760, 6.7760, 6.7760 Å; angles 24.88, 24.88, 24.88 degrees
With the nearest neighbours (Å) after each atom.
Positions (direct):
O 0.8994 0.8994 0.8994  1 Ni 1.98, 3 Ta 2.13
O 0.1006 0.1006 0.1006  1 Ni 1.98, 3 Ta 2.13
Ta 0.5000 0.5000 0.5000  6 O 2.13
Ni 0.0000 0.0000 0.0000  2 O 1.98

**Total magnetization**: 0.88 μB/f.u.
**Crystal system**: trigonal
**VASP energy**: -7.466 eV per atom